Below is crystalline LaVN3 at its relaxed geometry, with properties calculated at the PBE level.

Output
DFT total energy = -43.2 eV/f.u.
crystal system = monoclinic
formation energy (no corrections) = -0.829 eV per atom

Cell: 9.9734 10.5643 6.1011 Å, 90.00 104.30 90.00°
Space group C2/c (No. 15)
Asymmetric unit:
La 0.0000 0.0934 0.2500 x4
La 0.0000 0.3156 0.7500 x4
V 0.2050 0.4135 0.2787 x8
N 0.1154 0.1119 0.6507 x8
N 0.1268 0.2737 0.1506 x8
N 0.1615 0.4668 0.5506 x8

---

Below is crystalline Pm2NdTe at its relaxed geometry, with properties calculated at the PBE level.

Output
DFT total energy = -20.2 eV/f.u.
crystal system = orthorhombic
formation energy (no corrections) = -0.691 eV per atom

Cell: 7.8249 10.0790 6.4748 Å, 90.00 90.00 90.00°
Space group Pnma (No. 62)
Asymmetric unit:
Pm 0.1968 0.0373 0.1226 x8
Nd 0.0189 0.2500 0.6286 x4
Te 0.1072 0.7500 0.8995 x4

---

Below is crystalline K3RhC at its relaxed geometry, with properties calculated at the PBE level.

Output
energy of formation = 1.5865 eV/atom
DFT total energy = -11.9 eV/f.u.
crystal system = cubic

Cell: 5.5797 5.5797 5.5797 Å, 90.00 90.00 90.00°
Space group Pm-3m (No. 221)
Asymmetric unit:
K 0.0000 0.0000 0.5000 x3
Rh 0.5000 0.5000 0.5000 x1
C 0.0000 0.0000 0.0000 x1

---

Below is crystalline Mg2Ag at its relaxed geometry, with properties calculated at the PBE level.

Output
energy of formation = -0.1621 eV/atom
DFT total energy = -6.5 eV/f.u.
crystal system = orthorhombic

Cell: 3.5826 14.1141 4.6638 Å, 90.00 90.00 90.00°
Space group Cmcm (No. 63)
Asymmetric unit:
Mg 0.0000 0.0737 0.2500 x4
Mg 0.0000 0.2440 0.7500 x4
Ag 0.0000 0.4110 0.2500 x4

---

no.,size of the total moment (Bohr magnetons per cell),density of states at the Fermi level (states/eV per cell)
1,6.871,21.25
2,0.000,18.70
3,1.407,22.40
4,0.000,1.40